Crystalline Ca2IrSe at its relaxed geometry. Source: the Alexandria database, functional PBE.

Results
- raw formation energy (eV per atom) = -0.2898
- electronic total energy (eV/atom) = -4.38
- calculated volume (Å³ per cell) = 334.74
- offset from the most stable computed form (kJ/mol of formula units) = 201.8

Cell and atoms, written as CIF:
```
data_Ca2IrSe
_symmetry_space_group_name_H-M 'F -4 3 m'
_symmetry_Int_Tables_number 216
_symmetry_space_group_name_Hall 'F -4 2 3'
_cell_length_a 6.943
_cell_length_b 6.943
_cell_length_c 6.943
_cell_angle_alpha 90.00
_cell_angle_beta 90.00
_cell_angle_gamma 90.00
loop_
_atom_site_label
_atom_site_type_symbol
_atom_site_fract_x
_atom_site_fract_y
_atom_site_fract_z
Ca1 Ca 0.000 0.000 0.000
Ca2 Ca 0.250 0.250 0.250
Ir1 Ir 0.000 0.000 0.500
Se1 Se 0.250 0.250 0.750
```

=====

Crystalline Ca2IrSe at its relaxed geometry. Source: the Alexandria database, functional PBE.

Results
- raw formation energy (eV per atom) = -0.4774
- electronic total energy (eV/atom) = -4.56
- calculated volume (Å³ per cell) = 380.54
- offset from the most stable computed form (kJ/mol of formula units) = 129.5

Cell and atoms, written as CIF:
```
data_Ca2IrSe
_symmetry_space_group_name_H-M 'I -4 2 d'
_symmetry_Int_Tables_number 122
_symmetry_space_group_name_Hall 'I -4 2bw'
_cell_length_a 7.685
_cell_length_b 7.685
_cell_length_c 6.443
_cell_angle_alpha 90.00
_cell_angle_beta 90.00
_cell_angle_gamma 90.00
loop_
_atom_site_label
_atom_site_type_symbol
_atom_site_fract_x
_atom_site_fract_y
_atom_site_fract_z
Ca1 Ca 0.237 0.250 0.125
Ir1 Ir 0.000 0.000 0.000
Se1 Se 0.000 0.000 0.500
```